Computed, not measured: Sm6CuSe5 after structural relaxation at the PBE level of DFT.

```
data_Sm6CuSe5
_symmetry_space_group_name_H-M 'C 1 2/m 1'
_symmetry_Int_Tables_number 12
_cell_length_a 7.231
_cell_length_b 12.514
_cell_length_c 7.222
_cell_angle_alpha 90.00
_cell_angle_beta 109.58
_cell_angle_gamma 90.00
loop_
_symmetry_equiv_pos_as_xyz
'x,y,z'
'-x,-y,-z'
'-x,y,-z'
'x,-y,z'
'x+1/2,y+1/2,z'
'-x+1/2,-y+1/2,-z'
'-x+1/2,y+1/2,-z'
'x+1/2,-y+1/2,z'
loop_
_atom_site_label
_atom_site_type_symbol
_atom_site_fract_x
_atom_site_fract_y
_atom_site_fract_z
Sm1 Sm 0.243 0.000 0.254
Sm2 Sm 0.243 0.163 0.744
Cu1 Cu 0.000 0.000 0.500
Se1 Se 0.000 0.171 0.000
Se2 Se 0.000 0.335 0.500
Se3 Se 0.000 0.500 0.000
```

Output
**Volume**: 25.66 Å³/atom
**Formation energy from raw total energies**: -18.801 eV/f.u.

***

Computed, not measured: SmCuSe2 after structural relaxation at the PBE level of DFT.

```
data_SmCuSe2
_symmetry_space_group_name_H-M 'R -3 m'
_symmetry_Int_Tables_number 166
_symmetry_space_group_name_Hall '-R 3 2"'
_cell_length_a 4.3800
_cell_length_b 4.3800
_cell_length_c 22.5726
_cell_angle_alpha 90.00
_cell_angle_beta 90.00
_cell_angle_gamma 120.00
loop_
_atom_site_label
_atom_site_type_symbol
_atom_site_fract_x
_atom_site_fract_y
_atom_site_fract_z
Sm1 Sm 0.0000 0.0000 0.0000
Cu1 Cu 0.0000 0.0000 0.5000
Se1 Se 0.0000 0.0000 0.3999
```

Output
**Volume**: 31.25 Å³/atom
**Formation energy from raw total energies**: -4.437 eV/f.u.

***

Computed, not measured: Sm4CuSe3 after structural relaxation at the PBE level of DFT.

```
data_Sm4CuSe3
_symmetry_space_group_name_H-M 'C m m m'
_symmetry_Int_Tables_number 65
_symmetry_space_group_name_Hall '-C 2 2'
_cell_length_a 8.461
_cell_length_b 11.829
_cell_length_c 4.092
_cell_angle_alpha 90.00
_cell_angle_beta 90.00
_cell_angle_gamma 90.00
loop_
_atom_site_label
_atom_site_type_symbol
_atom_site_fract_x
_atom_site_fract_y
_atom_site_fract_z
Sm1 Sm 0.000 0.248 0.000
Sm2 Sm 0.241 0.000 0.500
Cu1 Cu 0.000 0.000 0.000
Se1 Se 0.000 0.500 0.000
Se2 Se 0.250 0.250 0.500
```

Output
**Volume**: 25.60 Å³/atom
**Formation energy from raw total energies**: -11.267 eV/f.u.

***

Computed, not measured: Sm2CuSe after structural relaxation at the PBE level of DFT.

```
data_Sm2CuSe
_symmetry_space_group_name_H-M 'R 3 m'
_symmetry_Int_Tables_number 160
_symmetry_space_group_name_Hall 'R 3 -2"'
_cell_length_a 4.0454
_cell_length_b 4.0454
_cell_length_c 21.9419
_cell_angle_alpha 90.00
_cell_angle_beta 90.00
_cell_angle_gamma 120.00
loop_
_atom_site_label
_atom_site_type_symbol
_atom_site_fract_x
_atom_site_fract_y
_atom_site_fract_z
Sm1 Sm 0.0000 0.0000 0.0000
Sm2 Sm 0.0000 0.0000 0.1764
Cu1 Cu 0.0000 0.0000 0.5875
Se1 Se 0.0000 0.0000 0.7558
```

Output
**Volume**: 25.91 Å³/atom
**Formation energy from raw total energies**: -3.441 eV/f.u.

***

Computed, not measured: SmCuSe after structural relaxation at the PBE level of DFT.

```
data_SmCuSe
_symmetry_space_group_name_H-M 'C 1 2/m 1'
_symmetry_Int_Tables_number 12
_cell_length_a 5.814
_cell_length_b 5.506
_cell_length_c 8.461
_cell_angle_alpha 90.00
_cell_angle_beta 99.55
_cell_angle_gamma 90.00
loop_
_symmetry_equiv_pos_as_xyz
'x,y,z'
'-x,-y,-z'
'-x,y,-z'
'x,-y,z'
'x+1/2,y+1/2,z'
'-x+1/2,-y+1/2,-z'
'-x+1/2,y+1/2,-z'
'x+1/2,-y+1/2,z'
loop_
_atom_site_label
_atom_site_type_symbol
_atom_site_fract_x
_atom_site_fract_y
_atom_site_fract_z
Sm1 Sm 0.182 0.000 0.260
Cu1 Cu 0.209 0.500 0.052
Se1 Se 0.208 0.500 0.358
```

Output
**Volume**: 22.26 Å³/atom
**Formation energy from raw total energies**: -2.951 eV/f.u.

***

Computed, not measured: Sm2CuSe after structural relaxation at the PBE level of DFT.

```
data_Sm2CuSe
_symmetry_space_group_name_H-M 'C m c m'
_symmetry_Int_Tables_number 63
_symmetry_space_group_name_Hall '-C 2c 2'
_cell_length_a 4.085
_cell_length_b 23.407
_cell_length_c 4.157
_cell_angle_alpha 90.00
_cell_angle_beta 90.00
_cell_angle_gamma 90.00
loop_
_atom_site_label
_atom_site_type_symbol
_atom_site_fract_x
_atom_site_fract_y
_atom_site_fract_z
Sm1 Sm 0.000 0.066 0.250
Sm2 Sm 0.000 0.317 0.250
Cu1 Cu 0.000 0.464 0.250
Se1 Se 0.000 0.192 0.250
```

Output
**Volume**: 24.84 Å³/atom
**Formation energy from raw total energies**: -3.991 eV/f.u.

***

Computed, not measured: SmCu2Se2 after structural relaxation at the PBE level of DFT.

```
data_SmCu2Se2
_symmetry_space_group_name_H-M 'C 1 2/c 1'
_symmetry_Int_Tables_number 15
_cell_length_a 8.817
_cell_length_b 10.290
_cell_length_c 6.237
_cell_angle_alpha 90.00
_cell_angle_beta 134.77
_cell_angle_gamma 90.00
loop_
_symmetry_equiv_pos_as_xyz
'x,y,z'
'-x,-y,-z'
'-x,y,-z+1/2'
'x,-y,z+1/2'
'x+1/2,y+1/2,z'
'-x+1/2,-y+1/2,-z'
'-x+1/2,y+1/2,-z+1/2'
'x+1/2,-y+1/2,z+1/2'
loop_
_atom_site_label
_atom_site_type_symbol
_atom_site_fract_x
_atom_site_fract_y
_atom_site_fract_z
Sm1 Sm 0.000 0.120 0.250
Cu1 Cu 0.155 0.387 0.764
Se1 Se 0.000 0.170 0.750
Se2 Se 0.000 0.405 0.250
```

Output
**Volume**: 20.09 Å³/atom
**Formation energy from raw total energies**: -3.250 eV/f.u.

***

Computed, not measured: Sm5CuSe8 after structural relaxation at the PBE level of DFT.

```
data_Sm5CuSe8
_symmetry_space_group_name_H-M 'I -4'
_symmetry_Int_Tables_number 82
_cell_length_a 8.720
_cell_length_b 8.720
_cell_length_c 8.982
_cell_angle_alpha 90.00
_cell_angle_beta 90.00
_cell_angle_gamma 90.00
loop_
_symmetry_equiv_pos_as_xyz
'x,y,z'
'y,-x,-z'
'-x,-y,z'
'-y,x,-z'
'x+1/2,y+1/2,z+1/2'
'y+1/2,-x+1/2,-z+1/2'
'-x+1/2,-y+1/2,z+1/2'
'-y+1/2,x+1/2,-z+1/2'
loop_
_atom_site_label
_atom_site_type_symbol
_atom_site_fract_x
_atom_site_fract_y
_atom_site_fract_z
Sm1 Sm 0.000 0.000 0.000
Sm2 Sm 0.129 0.751 0.383
Cu1 Cu 0.000 0.500 0.750
Se1 Se 0.064 0.805 0.706
Se2 Se 0.077 0.683 0.068
```

Output
**Volume**: 24.39 Å³/atom
**Formation energy from raw total energies**: -22.845 eV/f.u.

***

Computed, not measured: Sm2CuSnSe5 after structural relaxation at the PBE level of DFT.

```
data_Sm2CuSnSe5
_symmetry_space_group_name_H-M 'C m c 21'
_symmetry_Int_Tables_number 36
_cell_length_a 4.012
_cell_length_b 17.498
_cell_length_c 12.324
_cell_angle_alpha 90.00
_cell_angle_beta 90.00
_cell_angle_gamma 90.00
loop_
_symmetry_equiv_pos_as_xyz
'x,y,z'
'-x,-y,z+1/2'
'-x,y,z'
'x,-y,z+1/2'
'x+1/2,y+1/2,z'
'-x+1/2,-y+1/2,z+1/2'
'-x+1/2,y+1/2,z'
'x+1/2,-y+1/2,z+1/2'
loop_
_atom_site_label
_atom_site_type_symbol
_atom_site_fract_x
_atom_site_fract_y
_atom_site_fract_z
Sm1 Sm 0.000 0.117 0.000
Sm2 Sm 0.000 0.118 0.379
Cu1 Cu 0.000 0.496 0.685
Sn1 Sn 0.000 0.186 0.693
Se1 Se 0.000 0.037 0.773
Se2 Se 0.000 0.294 0.359
Se3 Se 0.000 0.297 0.022
Se4 Se 0.000 0.353 0.692
Se5 Se 0.000 0.491 0.991
```

Output
**Volume**: 24.03 Å³/atom
**Formation energy from raw total energies**: -10.274 eV/f.u.

***

Computed, not measured: Sm3CuSnSe7 after structural relaxation at the PBE level of DFT.

```
data_Sm3CuSnSe7
_symmetry_space_group_name_H-M 'P 63'
_symmetry_Int_Tables_number 173
_cell_length_a 10.4549
_cell_length_b 10.4549
_cell_length_c 6.4705
_cell_angle_alpha 90.00
_cell_angle_beta 90.00
_cell_angle_gamma 120.00
loop_
_symmetry_equiv_pos_as_xyz
'x,y,z'
'x-y,x,z+1/2'
'-y,x-y,z'
'-x,-y,z+1/2'
'-x+y,-x,z'
'y,-x+y,z+1/2'
loop_
_atom_site_label
_atom_site_type_symbol
_atom_site_fract_x
_atom_site_fract_y
_atom_site_fract_z
Sm1 Sm 0.1448 0.7879 0.0000
Cu1 Cu 0.0000 0.0000 0.0782
Sn1 Sn 0.3333 0.6667 0.4258
Se1 Se 0.0811 0.5158 0.2485
Se2 Se 0.1094 0.8485 0.5585
Se3 Se 0.3333 0.6667 0.8187
```

Output
**Volume**: 25.52 Å³/atom
**Formation energy from raw total energies**: -15.607 eV/f.u.

***

Computed, not measured: Sr2SmCu2Se4 after structural relaxation at the PBE level of DFT.

```
data_Sr2SmCu2Se4
_symmetry_space_group_name_H-M 'C 1 2/m 1'
_symmetry_Int_Tables_number 12
_cell_length_a 15.185
_cell_length_b 4.062
_cell_length_c 7.546
_cell_angle_alpha 90.00
_cell_angle_beta 110.84
_cell_angle_gamma 90.00
loop_
_symmetry_equiv_pos_as_xyz
'x,y,z'
'-x,-y,-z'
'-x,y,-z'
'x,-y,z'
'x+1/2,y+1/2,z'
'-x+1/2,-y+1/2,-z'
'-x+1/2,y+1/2,-z'
'x+1/2,-y+1/2,z'
loop_
_atom_site_label
_atom_site_type_symbol
_atom_site_fract_x
_atom_site_fract_y
_atom_site_fract_z
Sr1 Sr 0.134 0.000 0.075
Sm1 Sm 0.000 0.000 0.500
Cu1 Cu 0.187 0.500 0.497
Se1 Se 0.027 0.500 0.243
Se2 Se 0.206 0.000 0.713
```

Output
**Volume**: 24.16 Å³/atom
**Formation energy from raw total energies**: -11.380 eV/f.u.

***

Computed, not measured: SrSmCuSe3 after structural relaxation at the PBE level of DFT.

```
data_SrSmCuSe3
_symmetry_space_group_name_H-M 'P 1 21/m 1'
_symmetry_Int_Tables_number 11
_cell_length_a 8.690
_cell_length_b 4.130
_cell_length_c 9.124
_cell_angle_alpha 90.00
_cell_angle_beta 103.12
_cell_angle_gamma 90.00
loop_
_symmetry_equiv_pos_as_xyz
'x,y,z'
'-x,-y,-z'
'-x,y+1/2,-z'
'x,-y+1/2,z'
loop_
_atom_site_label
_atom_site_type_symbol
_atom_site_fract_x
_atom_site_fract_y
_atom_site_fract_z
Sr1 Sr 0.184 0.250 0.238
Sm1 Sm 0.326 0.750 0.830
Cu1 Cu 0.081 0.250 0.584
Se1 Se 0.099 0.250 0.862
Se2 Se 0.216 0.750 0.508
Se3 Se 0.433 0.750 0.166
```

Output
**Volume**: 26.58 Å³/atom
**Formation energy from raw total energies**: -9.222 eV/f.u.

***

| no. | E_tot (eV/atom) |
| --- | --- |
| 1 | -5.72 |
| 2 | -5.06 |
| 3 | -5.59 |
| 4 | -5.12 |
| 5 | -5.08 |
| 6 | -5.25 |
| 7 | -4.63 |
| 8 | -5.60 |
| 9 | -5.03 |
| 10 | -5.19 |
| 11 | -4.62 |
| 12 | -5.03 |